No. 1
# AsSeCl2

A geometry-optimized AsSeCl2 structure (GGA-PBE, Alexandria).

a b c (Å): 3.1944 3.1944 30.4841
angles (deg): 90.00 90.00 120.00
Space group R-3m (No. 166, hexagonal axes)
Asymmetric unit:
As (0.0000, 0.0000, 0.0000) [3 per cell]
Se (0.0000, 0.0000, 0.5000) [3 per cell]
Cl (0.0000, 0.0000, 0.0753) [6 per cell]

Output
relative energy among the computed polymorphs = 55.8 kJ/mol of atoms



No. 2
# TiGe2PPt

A geometry-optimized TiGe2PPt structure (GGA-PBE, Alexandria).

a b c (Å): 4.8387 4.8387 4.7304
angles (deg): 90.00 90.00 90.00
Space group P4/mmm (No. 123)
Asymmetric unit:
Ti (0.0000, 0.0000, 0.0000) [1 per cell]
Ge (0.0000, 0.5000, 0.0000) [2 per cell]
P (0.5000, 0.5000, 0.5000) [1 per cell]
Pt (0.0000, 0.0000, 0.5000) [1 per cell]

Output
formation energy from the elements = 0.79 eV/atom



No. 3
# Fe3CoNi

A geometry-optimized Fe3CoNi structure (GGA-PBE, Alexandria).

a b c (Å): 4.2677 4.2677 4.2677
angles (deg): 90.00 90.00 90.00
Space group Pm-3m (No. 221)
Asymmetric unit:
Fe (0.0000, 0.0000, 0.5000) [3 per cell]
Co (0.5000, 0.5000, 0.5000) [1 per cell]
Ni (0.0000, 0.0000, 0.0000) [1 per cell]

Output
formation energy from the elements = 1.16 eV/atom
relative energy among the computed polymorphs = 106.1 kJ/mol of atoms



No. 4
# Pm8PrSn2

A geometry-optimized Pm8PrSn2 structure (GGA-PBE, Alexandria).

a b c (Å): 16.6498 6.8553 6.4533
angles (deg): 90.00 94.57 90.00
Space group C2/m (No. 12)
Asymmetric unit:
Pm (0.0840, 0.0000, 0.3987) [4 per cell]
Pm (0.1007, 0.2447, 0.9093) [8 per cell]
Pm (0.2143, 0.5000, 0.3321) [4 per cell]
Pr (0.0000, 0.5000, 0.5000) [2 per cell]
Sn (0.2440, 0.0000, 0.1715) [4 per cell]

Output
formation energy from the elements = -0.19 eV/atom



No. 5
# AgH2Pt2

A geometry-optimized AgH2Pt2 structure (GGA-PBE, Alexandria).

a b c (Å): 6.3907 6.3907 2.9602
angles (deg): 90.00 90.00 90.00
Space group P4/mbm (No. 127)
Asymmetric unit:
Ag (0.0000, 0.0000, 0.0000) [2 per cell]
H (0.2481, 0.2519, 0.0000) [4 per cell]
Pt (0.1490, 0.3510, 0.5000) [4 per cell]

Output
relative energy among the computed polymorphs = 13.7 kJ/mol of atoms



No. 6
# Y2ScCuC

A geometry-optimized Y2ScCuC structure (GGA-PBE, Alexandria).

a b c (Å): 4.9223 4.9223 4.3906
angles (deg): 90.00 90.00 90.00
Space group P4/mmm (No. 123)
Asymmetric unit:
Y (0.0000, 0.5000, 0.0000) [2 per cell]
Sc (0.0000, 0.0000, 0.5000) [1 per cell]
Cu (0.5000, 0.5000, 0.5000) [1 per cell]
C (0.0000, 0.0000, 0.0000) [1 per cell]

Output
formation energy from the elements = -0.18 eV/atom
relative energy among the computed polymorphs = 0.0 kJ/mol of atoms



In the order shown, the computed magnetic moment values come out to 0.22; 0.00; 11.33; 0.00; 0.00; 0.00 Bohr magnetons per cell.
In the order shown, the computed volume values come out to 22.4; 22.2; 15.5; 33.4; 12.1; 21.3 Å³ per atom.